No. 1
The following is a GGA-PBE calculation of a relaxed PIrPdO2 crystal, from Alexandria.

The structure in POSCAR format:
```
PIrPdO2
1.0
3.687 0.000 0.000
0.000 3.687 0.000
0.000 0.000 5.512
P Ir Pd O
1 1 1 2
Cartesian
0.000 0.000 0.000
0.000 0.000 2.756
1.843 1.843 0.000
0.000 1.843 2.756
1.843 0.000 2.756
```

Results
calculated total energy	-0.2201	Ha/atom
SG	P4/mmm (123)
energy relative to the lowest polymorph listed for this composition	0.0	meV per atom



No. 2
The following is a GGA-PBE calculation of a relaxed NaThSb2 crystal, from Alexandria.

The structure in POSCAR format:
```
NaThSb2
1.0
2.351 1.357 6.956
-2.351 1.357 6.956
0.000 -2.714 6.956
Na Th Sb
1 1 2
Cartesian
0.000 0.000 0.000
0.000 0.000 10.434
0.000 0.000 5.119
0.000 0.000 15.748
```

Results
calculated total energy	-0.1741	Ha/atom
SG	R-3m (166)
energy relative to the lowest polymorph listed for this composition	70.8	meV per atom